TbPuNi: relaxed, PBE.

Summary:
For the final energy, the calculation gives -8.205 eV/atom. Its formation energy is 0.0425 eV/atom.

a b c (Å): 3.394 19.501 3.497
angles (deg): 90.00 90.00 90.00
Space group Cmcm (No. 63)
One atom of each set of equivalent atoms:
Tb  0.000  0.098  0.250
Pu  0.000  0.268  0.250
Ni  0.000  0.461  0.250

CaZr2Cl: relaxed, PBE.

Summary:
Its formation energy from raw total energies is 418 meV/atom. For the final energy, the calculation gives -4.818 eV/atom.

a b c (Å): 7.382 7.382 7.382
angles (deg): 90.00 90.00 90.00
Space group F-43m (No. 216)
One atom of each set of equivalent atoms:
Ca  0.000  0.000  0.000
Zr  0.000  0.000  0.500
Zr  0.250  0.250  0.750
Cl  0.250  0.250  0.250

Ce3CuSi3: relaxed, PBE.

Summary:
Its formation energy from raw total energies is -601 meV/atom. For the final energy, the calculation gives -6.053 eV/atom.

a b c (Å): 3.999 4.239 18.045
angles (deg): 90.00 90.00 90.00
Space group Imm2 (No. 44)
One atom of each set of equivalent atoms:
Ce  0.000  0.000  0.000
Ce  0.000  0.000  0.372
Ce  0.000  0.500  0.688
Cu  0.000  0.500  0.120
Si  0.000  0.000  0.550
Si  0.000  0.000  0.825
Si  0.000  0.500  0.248

TmZr2TaC4: relaxed, PBE.

Summary:
For the final energy, the calculation gives -9.144 eV/atom. Its formation energy is -0.3543 eV/atom.

a b c (Å): 3.366 11.672 11.820
angles (deg): 90.00 90.00 90.00
Space group Cmcm (No. 63)
One atom of each set of equivalent atoms:
Tm  0.000  0.139  0.250
Zr  0.000  0.367  0.028
Ta  0.000  0.129  0.750
C  0.000  0.000  0.000
C  0.000  0.248  0.620
C  0.000  0.475  0.250